[1]
{"formula": "InIr2Se", "functional": "PBE", "state": "relaxed", "lattice_angstrom": [[-0.616, 3.248, 0.978], [-2.974, -0.995, 1.433], [2.850, -1.026, 5.201]], "species": ["Ir", "Se", "Ir", "In"], "frac_coords": [[0.500, 0.500, 0.290], [0.000, 0.000, 0.417], [0.000, 0.000, 0.008], [0.500, 0.500, 0.785]], "n_ef_per_ev_cell": 3.83, "e_above_lowest_polymorph_ev_per_fu": 0.242, "formation_energy_uncorrected_mev_per_atom": 228}

---

[2]
{"formula": "SrMg5Ni2", "functional": "PBE", "state": "relaxed", "lattice_angstrom": [[-1.996, 0.155, 3.712], [3.662, -3.674, 4.518], [3.415, 4.389, 4.049]], "species": ["Mg", "Mg", "Sr", "Mg", "Ni", "Mg", "Ni", "Mg"], "frac_coords": [[0.666, 0.519, 0.149], [0.334, 0.851, 0.481], [0.000, 0.000, 0.000], [0.000, 0.500, 0.500], [0.752, 0.748, 0.748], [0.666, 0.149, 0.519], [0.248, 0.252, 0.252], [0.334, 0.481, 0.851]], "n_ef_per_ev_cell": 4.63}

---

[3]
{"formula": "SnPbO4", "functional": "PBE", "state": "relaxed", "lattice_angstrom": [[5.685, 0.094, -1.829], [-2.995, 4.833, -1.829], [-0.051, -0.094, 5.971]], "species": ["O", "Sn", "O", "O", "O", "O", "Pb", "O", "Sn", "O", "O", "Pb"], "frac_coords": [[0.794, 0.990, 0.805], [0.751, 0.751, 0.000], [0.701, 0.510, 0.190], [0.185, 0.990, 0.195], [0.260, 0.951, 0.690], [0.740, 0.044, 0.305], [0.999, 0.499, 0.500], [0.320, 0.510, 0.810], [0.501, 0.001, 0.500], [0.260, 0.570, 0.310], [0.740, 0.435, 0.695], [0.249, 0.249, 0.000]], "n_ef_per_ev_cell": 1.00, "formation_energy_uncorrected_mev_per_atom": -1224}

---

Number 1: energy -5.758 eV per atom. Number 2: energy -2.752 eV per atom. Number 3: energy -5.815 eV per atom.